The following is a DFT calculation (PBE) of a relaxed PrCuAs2O8 crystal.

extended XYZ file:
```
12
Lattice="-3.6155 3.6155 3.2044 3.6155 -3.6155 3.2044 3.6155 3.6155 -3.2044" Properties=species:S:1:pos:R:3 pbc="T T T"
Pr 0.0000 0.0000 0.0000
Cu 3.6155 0.0000 1.6022
As 0.0000 0.0000 3.2044
As 0.0000 3.6155 1.6022
O 2.2831 3.6155 -1.1083
O 1.3324 0.0000 2.0961
O 0.0000 2.3498 0.4454
O 3.6155 2.2831 1.1083
O 0.0000 4.8812 0.4454
O 0.0000 1.3324 4.3127
O -1.2657 3.6155 2.7590
O 1.2657 3.6155 2.7590
```

* formation energy without anion corrections: -1.345 eV/atom
* space group: No. 119
* crystal system: tetragonal
* total energy: -6.166 eV/atom
* total magnetization: 2.066 μB per cell

***

The following is a DFT calculation (PBE) of a relaxed Tb3Pm3Er4 crystal.

extended XYZ file:
```
10
Lattice="3.6685 0.0000 0.0000 0.0000 6.6641 6.6829 0.0000 -6.6641 6.6829" Properties=species:S:1:pos:R:3 pbc="T T T"
Tb 0.0000 0.0000 0.0000
Tb 1.8342 -3.3627 7.6819
Tb 1.8342 3.3627 7.6819
Pm 0.0000 -2.3235 4.3491
Pm 0.0000 2.3235 4.3491
Pm 0.0000 0.0000 8.7151
Er 1.8342 0.0000 2.6818
Er 1.8342 0.0000 6.0151
Er 1.8342 -1.6497 11.0571
Er 1.8342 1.6497 11.0571
```

* space group: No. 38
* formation energy from the elements: 0.093 eV per atom
* crystal system: orthorhombic
* total energy: -4.547 eV/atom
* total magnetization: 0.002 μB per cell